Record 1
An optimized crystal structure of Sr4SnN, computed with PBE.

The structure in extended XYZ format:
```
12
Lattice="-5.043 4.001 -2.198 -4.800 -3.643 4.384 5.775 5.781 4.793" Properties=species:S:1:pos:R:3 pbc="T T T"
Sr -5.342 0.374 3.737
Sr -2.276 5.779 2.310
Sr -1.263 -0.959 1.154
Sr -1.794 0.360 4.669
Sr -3.112 2.066 1.701
Sr -0.957 4.073 5.278
Sr 1.273 5.765 3.242
Sr -3.537 -2.684 3.230
N -3.179 -0.222 2.668
N -0.890 6.361 4.311
Sn 0.207 2.496 2.300
Sn -4.276 3.643 4.679
```

Values from the calculation:
Energy relative to the lowest polymorph listed for this composition ... 0 meV/atom
VASP energy ... -43.73 eV for the cell shown
Fermi-level density of states ... 0.182 states/eV per atom
E_form (uncorrected) ... -0.4687 eV/atom

---

Record 2
An optimized crystal structure of Zr2V2Rh, computed with PBE.

The structure in extended XYZ format:
```
10
Lattice="7.511 0.000 0.000 0.000 7.511 0.000 0.000 0.000 3.300" Properties=species:S:1:pos:R:3 pbc="T T T"
Zr 1.459 2.296 0.000
Zr 2.296 6.051 0.000
Zr 5.215 1.459 0.000
Zr 6.051 5.215 0.000
Rh 3.755 3.755 0.000
Rh 0.000 0.000 0.000
V 6.770 3.015 1.650
V 0.741 4.496 1.650
V 4.496 6.770 1.650
V 3.015 0.741 1.650
```

Values from the calculation:
Energy relative to the lowest polymorph listed for this composition ... 420 meV/atom
VASP energy ... -81.98 eV for the cell shown
Fermi-level density of states ... 1.030 states/eV per atom
ΔH_f (0 K) ... 0.34 eV per atom

---

Record 3
An optimized crystal structure of Ba2NbFeW, computed with PBE.

The structure in extended XYZ format:
```
5
Lattice="-3.962 0.917 -4.203 3.321 -0.393 -3.216 -0.992 -5.755 -0.321" Properties=species:S:1:pos:R:3 pbc="T T T"
Ba -1.981 0.459 -2.101
Ba -0.496 -2.877 -0.161
Nb 1.660 -0.196 -1.608
Fe 0.000 0.000 0.000
W -0.817 -2.615 -3.870
```

Values from the calculation:
VASP energy ... -27.02 eV for the cell shown
Fermi-level density of states ... 1.169 states/eV per atom
ΔH_f (0 K) ... 1.66 eV per atom

---

Record 4
An optimized crystal structure of Sc2AlCl, computed with PBE.

The structure in extended XYZ format:
```
4
Lattice="-2.259 -2.386 -0.229 1.183 -0.580 -5.634 3.207 -3.132 0.996" Properties=species:S:1:pos:R:3 pbc="T T T"
Al 0.474 -2.759 0.383
Cl 2.195 -1.856 -2.319
Sc 0.000 0.000 0.000
Sc -0.538 -1.483 -2.931
```

Values from the calculation:
Energy relative to the lowest polymorph listed for this composition ... 487 meV/atom
VASP energy ... -19.52 eV for the cell shown
Fermi-level density of states ... 1.169 states/eV per atom
E_form (uncorrected) ... -0.3168 eV/atom

---

Record 5
An optimized crystal structure of MgPRh4, computed with PBE.

The structure in extended XYZ format:
```
6
Lattice="0.000 3.635 3.635 3.635 0.000 3.635 3.635 3.635 0.000" Properties=species:S:1:pos:R:3 pbc="T T T"
Rh 4.546 4.546 2.724
Rh 2.724 2.724 2.724
Rh 2.724 4.546 4.546
Rh 4.546 2.724 4.546
P 0.000 0.000 0.000
Mg 5.453 5.453 5.453
```

Values from the calculation:
VASP energy ... -35.35 eV for the cell shown
Fermi-level density of states ... 1.220 states/eV per atom
ΔH_f (0 K) ... 0.18 eV per atom

---

Record 6
An optimized crystal structure of CaMg6TiO8, computed with PBE.

The structure in extended XYZ format:
```
16
Lattice="-3.608 1.771 -1.702 -0.614 -3.579 -2.422 -4.761 -3.529 6.421" Properties=species:S:1:pos:R:3 pbc="T T T"
O -3.498 -2.593 4.717
O -5.653 -3.530 2.715
O -2.687 -3.554 1.999
O -0.307 -1.790 -1.211
O -1.263 -0.936 1.704
O -4.185 -0.879 2.359
O -3.330 -1.808 -0.419
O -1.804 0.885 -0.851
Mg -5.334 -1.731 3.910
Mg -2.380 -1.765 3.211
Mg -3.837 -4.406 3.550
Mg -1.538 -2.702 0.449
Mg -3.035 -0.027 0.809
Mg -4.492 -2.669 1.148
Ti -2.111 -0.904 -2.062
Ca 0.000 0.000 0.000
```

Values from the calculation:
Energy relative to the lowest polymorph listed for this composition ... 0 meV/atom
VASP energy ... -100.32 eV for the cell shown
Fermi-level density of states ... 0.140 states/eV per atom
E_form (uncorrected) ... -2.5741 eV/atom

---

Record 7
An optimized crystal structure of CaErS2, computed with PBE.

The structure in extended XYZ format:
```
4
Lattice="3.911 0.012 0.010 1.945 3.393 0.010 1.923 1.118 6.523" Properties=species:S:1:pos:R:3 pbc="T T T"
Ca 3.890 2.262 3.272
Er 0.000 0.000 0.000
S 5.834 3.393 4.962
S 1.945 1.131 1.582
```

Values from the calculation:
Energy relative to the lowest polymorph listed for this composition ... 0 meV/atom
VASP energy ... -22.98 eV for the cell shown
Fermi-level density of states ... 0.376 states/eV per atom
E_form (uncorrected) ... -2.0399 eV/atom

---

Record 8
An optimized crystal structure of AcReAgO6, computed with PBE.

The structure in extended XYZ format:
```
9
Lattice="6.117 -0.083 -0.548 3.033 4.648 0.058 -0.436 0.234 4.559" Properties=species:S:1:pos:R:3 pbc="T T T"
O 1.412 1.254 1.109
O 3.389 3.114 1.177
O 4.501 2.080 3.294
O 5.551 4.757 3.362
O 4.079 0.557 1.253
O 1.771 2.785 3.237
Ag 5.596 -0.021 -0.481
Re 2.778 1.623 2.286
Ac 5.775 3.044 1.042
```

Values from the calculation:
VASP energy ... -64.18 eV for the cell shown
Fermi-level density of states ... 0.296 states/eV per atom
E_form (uncorrected) ... -1.6695 eV/atom